{"formula": "Y2OsSe", "functional": "PBE", "state": "relaxed", "lattice": [[7.2594, 0.0000, 0.0000], [0.0000, 7.2594, 0.0000], [0.0000, 0.0000, 7.9690]], "species": ["Y", "Y", "Y", "Y", "Y", "Y", "Y", "Y", "Os", "Os", "Os", "Os", "Se", "Se", "Se", "Se"], "fractional_positions": [[0.2321, 0.2500, 0.1250], [0.2500, 0.7321, 0.3750], [0.2500, 0.7679, 0.8750], [0.2679, 0.2500, 0.6250], [0.7321, 0.7500, 0.6250], [0.7500, 0.2321, 0.8750], [0.7500, 0.2679, 0.3750], [0.7679, 0.7500, 0.1250], [0.0000, 0.0000, 0.0000], [0.0000, 0.5000, 0.2500], [0.5000, 0.0000, 0.7500], [0.5000, 0.5000, 0.5000], [0.0000, 0.0000, 0.5000], [0.0000, 0.5000, 0.7500], [0.5000, 0.0000, 0.2500], [0.5000, 0.5000, 0.0000]], "m_tot_mub_per_atom": 0.00, "e_tot_ry_per_atom": -0.529, "formation_energy_uncorrected_ev_per_atom": -0.281, "space_group": "I-42d (122)"}


{"formula": "YOs2Se", "functional": "PBE", "state": "relaxed", "lattice": [[3.5933, 0.0000, 0.0000], [0.0000, 3.0259, 0.0000], [0.0000, 0.0000, 13.9000]], "species": ["Y", "Y", "Os", "Os", "Os", "Os", "Se", "Se"], "fractional_positions": [[0.0000, 0.0000, 0.0000], [0.0000, 0.5000, 0.5000], [0.0000, 0.0000, 0.2295], [0.0000, 0.5000, 0.7295], [0.5000, 0.0000, 0.6515], [0.5000, 0.5000, 0.1515], [0.5000, 0.0000, 0.3736], [0.5000, 0.5000, 0.8736]], "m_tot_mub_per_atom": 0.00, "e_tot_ry_per_atom": -0.596, "formation_energy_uncorrected_ev_per_atom": -0.007, "space_group": "Amm2 (38)"}


{"formula": "YOs2Se", "functional": "PBE", "state": "relaxed", "lattice": [[10.8992, 0.0000, 0.0000], [0.0000, 3.0400, 0.0000], [-1.9750, 0.0000, 4.2131]], "species": ["Y", "Y", "Os", "Os", "Os", "Os", "Se", "Se"], "fractional_positions": [[0.0000, 0.0000, 0.0000], [0.5000, 0.5000, 0.0000], [0.2245, 0.0000, 0.7402], [0.2755, 0.5000, 0.2598], [0.7245, 0.5000, 0.7402], [0.7755, 0.0000, 0.2598], [0.0000, 0.5000, 0.5000], [0.5000, 0.0000, 0.5000]], "m_tot_mub_per_atom": 0.00, "e_tot_ry_per_atom": -0.587, "formation_energy_uncorrected_ev_per_atom": 0.115, "space_group": "C2/m (12)"}


{"formula": "YOsSe2", "functional": "PBE", "state": "relaxed", "lattice": [[3.6448, 0.0000, 0.0000], [0.0000, 3.6448, 0.0000], [0.0000, 0.0000, 6.0292]], "species": ["Y", "Os", "Se", "Se"], "fractional_positions": [[0.0000, 0.0000, 0.0000], [0.5000, 0.5000, 0.3549], [0.0000, 0.0000, 0.4625], [0.5000, 0.5000, 0.8086]], "m_tot_mub_per_atom": 0.13, "e_tot_ry_per_atom": -0.485, "formation_energy_uncorrected_ev_per_atom": -0.436, "space_group": "P4mm (99)"}


{"formula": "Y2OsSe", "functional": "PBE", "state": "relaxed", "lattice": [[4.5711, 0.0000, 0.0000], [0.0000, 3.6533, 0.0000], [0.0000, 0.0000, 10.5808]], "species": ["Y", "Y", "Y", "Y", "Os", "Os", "Se", "Se"], "fractional_positions": [[0.0000, 0.0000, 0.0000], [0.0000, 0.5000, 0.5000], [0.5000, 0.0000, 0.2786], [0.5000, 0.5000, 0.7786], [0.5000, 0.0000, 0.5417], [0.5000, 0.5000, 0.0417], [0.0000, 0.0000, 0.7243], [0.0000, 0.5000, 0.2243]], "m_tot_mub_per_atom": 0.00, "e_tot_ry_per_atom": -0.566, "formation_energy_uncorrected_ev_per_atom": -0.795, "space_group": "Amm2 (38)"}


{"formula": "YOs2Se", "functional": "PBE", "state": "relaxed", "lattice": [[3.8136, 0.0000, 0.0000], [0.0000, 3.8136, 0.0000], [0.0000, 0.0000, 4.9980]], "species": ["Y", "Os", "Os", "Se"], "fractional_positions": [[0.0000, 0.0000, 0.0000], [0.0000, 0.5000, 0.5000], [0.5000, 0.0000, 0.5000], [0.5000, 0.5000, 0.0000]], "m_tot_mub_per_atom": 0.00, "e_tot_ry_per_atom": -0.577, "formation_energy_uncorrected_ev_per_atom": 0.254, "space_group": "P4/mmm (123)"}


{"formula": "Y3OsSe", "functional": "PBE", "state": "relaxed", "lattice": [[5.3675, 0.0000, 0.0000], [0.0000, 5.3675, 0.0000], [0.0000, 0.0000, 5.3675]], "species": ["Y", "Y", "Y", "Os", "Se"], "fractional_positions": [[0.0000, 0.0000, 0.5000], [0.0000, 0.5000, 0.0000], [0.5000, 0.0000, 0.0000], [0.0000, 0.0000, 0.0000], [0.5000, 0.5000, 0.5000]], "m_tot_mub_per_atom": 0.00, "e_tot_ry_per_atom": -0.517, "formation_energy_uncorrected_ev_per_atom": -0.219, "space_group": "Pm-3m (221)"}


{"formula": "YOsSe2", "functional": "PBE", "state": "relaxed", "lattice": [[6.8391, 0.0000, 0.0000], [0.0000, 6.8391, 0.0000], [0.0000, 0.0000, 6.8391]], "species": ["Y", "Y", "Y", "Y", "Os", "Os", "Os", "Os", "Se", "Se", "Se", "Se", "Se", "Se", "Se", "Se"], "fractional_positions": [[0.0000, 0.0000, 0.0000], [0.0000, 0.5000, 0.5000], [0.5000, 0.0000, 0.5000], [0.5000, 0.5000, 0.0000], [0.2500, 0.2500, 0.7500], [0.2500, 0.7500, 0.2500], [0.7500, 0.2500, 0.2500], [0.7500, 0.7500, 0.7500], [0.0000, 0.0000, 0.5000], [0.0000, 0.5000, 0.0000], [0.2500, 0.2500, 0.2500], [0.2500, 0.7500, 0.7500], [0.5000, 0.0000, 0.0000], [0.5000, 0.5000, 0.5000], [0.7500, 0.2500, 0.7500], [0.7500, 0.7500, 0.2500]], "m_tot_mub_per_atom": 0.25, "e_tot_ry_per_atom": -0.435, "formation_energy_uncorrected_ev_per_atom": 0.243, "space_group": "F-43m (216)"}